[1]
The following is a DFT calculation (GGA-PBE) of an optimized crystal structure of PmSmAgAs.

Total magnetic moment, μB/atom: 0.00
ΔE_f, eV/atom: -0.644
Final energy, eV per cell: -19.55
Space-group type: F-43m (216)

a b c (Å): 5.1792 5.1792 5.1792
angles (deg): 60.00 60.00 60.00
Last column: nearest neighbours and their distance in Å.
Atoms (fractional coordinates):
Pm  0.0000  0.0000  0.0000  4 As 3.17, 4 Ag 3.17
Sm  0.5000  0.5000  0.5000  4 As 3.17, 4 Ag 3.17
Ag  0.2500  0.2500  0.2500  4 Pm 3.17, 4 Sm 3.17
As  0.7500  0.7500  0.7500  4 Pm 3.17, 4 Sm 3.17

***

[2]
The following is a DFT calculation (GGA-PBE) of an optimized crystal structure of Pr2BRh6.

Total magnetic moment, μB/atom: 0.00
ΔE_f, eV/atom: 0.060
Final energy, eV per cell: -59.80
Space-group type: P-31m (162)

a b c (Å): 6.9871 6.9871 4.1802
angles (deg): 90.00 90.00 120.00
Last column: nearest neighbours and their distance in Å.
Atoms (fractional coordinates):
Pr  0.3333  0.6667  0.0000  6 Rh 2.85
Pr  0.6667  0.3333  0.0000  6 Rh 2.85
B  0.0000  0.0000  0.5000  6 Rh 2.06
Rh  0.0000  0.2534  0.7524  1 B 2.06
Rh  0.0000  0.7466  0.2476  1 B 2.06
Rh  0.2534  0.0000  0.7524  1 B 2.06
Rh  0.2534  0.2534  0.2476  1 B 2.06
Rh  0.7466  0.0000  0.2476  1 B 2.06
Rh  0.7466  0.7466  0.7524  1 B 2.06